[1]
Density functional theory data (PBE) for Ce6GaOs2 after structural relaxation.

Computed properties:
DOS at the Fermi energy	16.52	states/eV/f.u.

```
9
Lattice="4.842 0.000 0.000 -2.421 5.055 -0.295 0.000 -0.258 8.770" Properties=species:S:1:pos:R:3 pbc="T T T"
Ce 0.000 0.341 7.463
Ce 2.421 1.061 1.455
Ce 0.000 3.737 7.020
Ce 2.421 1.841 5.075
Ce 0.000 2.956 3.400
Ce 2.421 4.456 1.012
Ga 0.000 -0.129 4.385
Os 2.421 2.099 7.613
Os 0.000 2.698 0.862
```

***

[2]
Density functional theory data (PBE) for Ce3GaOs2 after structural relaxation.

Computed properties:
DOS at the Fermi energy	7.71	states/eV/f.u.

```
12
Lattice="3.685 0.000 0.000 0.000 4.895 0.000 0.000 0.000 14.234" Properties=species:S:1:pos:R:3 pbc="T T T"
Ce 1.827 2.447 9.794
Ce 1.830 0.000 7.117
Ce 1.827 2.447 4.440
Ce 1.858 0.000 2.677
Ce 1.855 2.447 0.000
Ce 1.858 0.000 11.557
Ga 3.672 2.447 7.117
Ga 0.013 0.000 0.000
Os 3.679 0.000 9.176
Os 3.679 0.000 5.058
Os 0.006 2.447 2.059
Os 0.006 2.447 12.175
```

***

[3]
Density functional theory data (PBE) for CeGa3Os after structural relaxation.

Computed properties:
DOS at the Fermi energy	3.44	states/eV/f.u.

```
15
Lattice="6.491 0.000 0.000 0.000 6.491 0.000 0.000 0.000 6.491" Properties=species:S:1:pos:R:3 pbc="T T T"
Ce 0.000 3.245 3.245
Ce 3.245 0.000 3.245
Ce 3.245 3.245 0.000
Ga 3.245 3.245 3.245
Ga 1.354 1.354 1.354
Ga 5.137 5.137 1.354
Ga 5.137 1.354 5.137
Ga 1.354 5.137 5.137
Ga 1.354 1.354 5.137
Ga 5.137 5.137 5.137
Ga 1.354 5.137 1.354
Ga 5.137 1.354 1.354
Os 3.245 0.000 0.000
Os 0.000 3.245 0.000
Os 0.000 0.000 3.245
```

***

[4]
Density functional theory data (PBE) for Ce2Ga6Os after structural relaxation.

Computed properties:
DOS at the Fermi energy	11.17	states/eV/f.u.

```
9
Lattice="5.421 0.000 3.130 1.807 5.111 3.130 0.000 0.000 6.260" Properties=species:S:1:pos:R:3 pbc="T T T"
Ce 1.807 1.278 3.130
Ce 5.421 3.833 9.389
Ga 2.833 3.659 7.611
Ga 2.833 3.659 4.908
Ga 4.394 1.452 7.611
Ga 4.394 1.452 4.908
Ga 5.175 3.659 6.260
Ga 2.053 1.452 6.260
Os 0.000 0.000 0.000
```

***

[5]
Density functional theory data (PBE) for Ce6Ga3Os after structural relaxation.

Computed properties:
DOS at the Fermi energy	21.45	states/eV/f.u.

```
20
Lattice="-5.581 -5.234 -2.295 3.371 -1.245 -7.134 4.176 -6.331 2.508" Properties=species:S:1:pos:R:3 pbc="T T T"
Ce 2.661 -3.779 -6.271
Ce 5.165 -6.421 -3.818
Ce 2.136 -6.672 -5.864
Ce -1.223 -5.702 -6.962
Ce 2.417 -8.451 -2.492
Ce 2.961 -4.744 -2.749
Ce -0.995 -8.067 -4.172
Ce -0.452 -4.360 -4.429
Ce 3.188 -7.108 0.041
Ce -0.170 -6.139 -1.057
Ce -3.199 -6.389 -3.103
Ce -0.696 -9.032 -0.650
Ga 4.053 -9.139 -5.159
Ga 0.002 -8.684 -7.153
Ga 1.630 -2.015 -3.771
Ga 0.336 -10.795 -3.150
Ga 1.964 -4.126 0.232
Ga -2.087 -3.671 -1.762
Os 0.000 0.000 0.000
Os 0.983 -6.405 -3.461
```

***

[6]
Density functional theory data (PBE) for CeGa3Os3 after structural relaxation.

Computed properties:
DOS at the Fermi energy	10.60	states/eV/f.u.

```
14
Lattice="-4.918 -3.219 3.359 4.371 -1.523 4.940 -1.593 5.757 3.185" Properties=species:S:1:pos:R:3 pbc="T T T"
Os 0.296 2.498 2.828
Os 2.482 1.736 5.298
Os -3.654 2.708 4.068
Os -1.503 -3.176 4.989
Os -2.857 -0.170 2.476
Os 0.956 -1.567 3.310
Ga -2.026 2.074 2.432
Ga 1.787 0.678 3.266
Ga 0.819 -2.752 5.384
Ga -4.485 0.464 4.112
Ga 0.991 3.556 4.859
Ga -1.366 -1.991 2.914
Ce -1.070 0.507 5.742
Ce 0.000 0.000 0.000
```

***

Computed values of calculated total energy (unit: eV per cell) for the preceding records, in sequence: -63.44 -89.18 -86.20 -45.80 -116.85 -87.44.
Computed values of ΔE_f (unit: eV per atom) for the preceding records, in sequence: -0.26 -0.22 -0.50 -0.50 -0.25 0.71.
Computed values of magnetic moment (unit: μB per formula unit) for the preceding records, in sequence: 0.57 0.00 0.00 0.86 0.00 0.39.